No. 1
NaTi2Cl7: relaxed, GGA-PBE.

Values from the calculation:
- DOS(E_F) (states/eV/cell) = 7.35
- uncorrected formation energy (eV/atom) = -1.46
- ρ (g/cm3) = 2.531

Cell lengths 7.9599, 12.7422, 4.7460 Å; angles 90.00, 90.00, 90.00 degrees
Space group Cmmm (No. 65)
Symmetry-distinct sites (fractional):
Na (0.0000, 0.0000, 0.0000)
Ti (0.0000, 0.3024, 0.5000)
Cl (0.0000, 0.3010, 0.0000)
Cl (0.0000, 0.5000, 0.5000)
Cl (0.1867, 0.1403, 0.5000)

No. 2
NaTiTl2Cl6: relaxed, GGA-PBE.

Values from the calculation:
- DOS(E_F) (states/eV/cell) = 6.86
- uncorrected formation energy (eV/atom) = -1.41
- ρ (g/cm3) = 4.187

Cell lengths 7.1958, 7.2039, 7.2096 Å; angles 61.72, 61.78, 61.71 degrees
Space group P-1 (No. 2)
Symmetry-distinct sites (fractional):
Na (0.0000, 0.0000, 0.0000)
Ti (0.5000, 0.5000, 0.5000)
Tl (0.2579, 0.2581, 0.2602)
Cl (0.2068, 0.3285, 0.7195)
Cl (0.2756, 0.7926, 0.6719)
Cl (0.3303, 0.7231, 0.2055)

No. 3
NaZrTiCl2: relaxed, GGA-PBE.

Values from the calculation:
- DOS(E_F) (states/eV/cell) = 5.07
- uncorrected formation energy (eV/atom) = -0.03
- ρ (g/cm3) = 3.035

Cell lengths 4.9950, 4.9950, 5.1094 Å; angles 90.00, 90.00, 90.00 degrees
Space group P4/mmm (No. 123)
Symmetry-distinct sites (fractional):
Na (0.0000, 0.0000, 0.0000)
Zr (0.5000, 0.5000, 0.0000)
Ti (0.5000, 0.5000, 0.5000)
Cl (0.0000, 0.5000, 0.5000)

No. 4
NaTlCl: relaxed, GGA-PBE.

Values from the calculation:
- DOS(E_F) (states/eV/cell) = 3.23
- uncorrected formation energy (eV/atom) = -0.97
- ρ (g/cm3) = 4.123

Cell lengths 8.2925, 4.3169, 12.3547 Å; angles 90.00, 106.82, 90.00 degrees
Space group Cm (No. 8)
Symmetry-distinct sites (fractional):
Na (0.0000, 0.0000, 0.0000)
Na (0.2192, 0.0000, 0.7672)
Tl (0.3042, 0.5000, 0.4596)
Tl (0.4270, 0.0000, 0.3082)
Cl (0.3216, 0.0000, 0.0087)
Cl (0.3984, 0.5000, 0.7597)

No. 5
NaTl2Cl: relaxed, GGA-PBE.

Values from the calculation:
- DOS(E_F) (states/eV/cell) = 8.70
- uncorrected formation energy (eV/atom) = -0.30
- ρ (g/cm3) = 6.349

Cell lengths 7.8770, 7.8770, 7.8770 Å; angles 90.00, 90.00, 90.00 degrees
Space group Fm-3m (No. 225)
Symmetry-distinct sites (fractional):
Na (0.0000, 0.0000, 0.0000)
Tl (0.2500, 0.2500, 0.2500)
Cl (0.0000, 0.0000, 0.5000)

No. 6
Na12Tl3Cl5: relaxed, GGA-PBE.

Values from the calculation:
- DOS(E_F) (states/eV/cell) = 86.53
- uncorrected formation energy (eV/atom) = -0.76
- ρ (g/cm3) = 2.696

Cell lengths 17.3843, 17.3843, 17.3843 Å; angles 90.00, 90.00, 90.00 degrees
Space group Ia-3d (No. 230)
Symmetry-distinct sites (fractional):
Na (0.0269, 0.0645, 0.6492)
Tl (0.0000, 0.2500, 0.1250)
Cl (0.0000, 0.0000, 0.0000)
Cl (0.0000, 0.2500, 0.3750)

No. 7
NaTlCl2: relaxed, GGA-PBE.

Values from the calculation:
- DOS(E_F) (states/eV/cell) = 0.00
- uncorrected formation energy (eV/atom) = -1.34
- ρ (g/cm3) = 3.319

Cell lengths 6.8022, 6.8022, 12.8994 Å; angles 90.00, 90.00, 90.00 degrees
Space group I-42d (No. 122)
Symmetry-distinct sites (fractional):
Na (0.0000, 0.0000, 0.0000)
Tl (0.0000, 0.0000, 0.5000)
Cl (0.2005, 0.2500, 0.1250)

No. 8
NaTlCl2: relaxed, GGA-PBE.

Values from the calculation:
- DOS(E_F) (states/eV/cell) = 0.00
- uncorrected formation energy (eV/atom) = -1.26
- ρ (g/cm3) = 4.698

Cell lengths 7.4988, 7.4988, 7.4988 Å; angles 90.00, 90.00, 90.00 degrees
Space group Fm-3m (No. 225)
Symmetry-distinct sites (fractional):
Na (0.0000, 0.0000, 0.0000)
Tl (0.0000, 0.0000, 0.5000)
Cl (0.2500, 0.2500, 0.2500)

No. 9
Na2TlCl3: relaxed, GGA-PBE.

Values from the calculation:
- DOS(E_F) (states/eV/cell) = 0.00
- uncorrected formation energy (eV/atom) = -1.49
- ρ (g/cm3) = 3.697

Cell lengths 3.9481, 11.2734, 7.2007 Å; angles 90.00, 90.00, 90.00 degrees
Space group Pmc2_1 (No. 26)
Symmetry-distinct sites (fractional):
Na (0.0000, 0.0102, 0.0000)
Na (0.5000, 0.2808, 0.4934)
Tl (0.5000, 0.3587, 0.9871)
Cl (0.0000, 0.1979, 0.2571)
Cl (0.0000, 0.4268, 0.6508)
Cl (0.5000, 0.0994, 0.7462)

No. 10
NaTl2Cl: relaxed, GGA-PBE.

Values from the calculation:
- DOS(E_F) (states/eV/cell) = 6.83
- uncorrected formation energy (eV/atom) = -0.43
- ρ (g/cm3) = 5.419

Cell lengths 10.2262, 10.2262, 5.4759 Å; angles 90.00, 90.00, 90.00 degrees
Space group I-42d (No. 122)
Symmetry-distinct sites (fractional):
Na (0.0000, 0.0000, 0.0000)
Tl (0.1726, 0.2500, 0.6250)
Cl (0.0000, 0.0000, 0.5000)

No. 11
Na3TlCl6: relaxed, GGA-PBE.

Values from the calculation:
- DOS(E_F) (states/eV/cell) = 0.00
- uncorrected formation energy (eV/atom) = -1.34
- ρ (g/cm3) = 3.131

Cell lengths 6.9113, 7.3342, 12.1944 Å; angles 90.00, 123.49, 90.00 degrees
Space group P2_1/c (No. 14)
Symmetry-distinct sites (fractional):
Na (0.0000, 0.0000, 0.0000)
Na (0.2071, 0.0788, 0.7336)
Tl (0.5000, 0.0000, 0.5000)
Cl (0.1272, 0.1809, 0.4383)
Cl (0.2408, 0.7004, 0.4144)
Cl (0.4076, 0.0708, 0.2633)

No. 12
Na2TlCl5: relaxed, GGA-PBE.

Values from the calculation:
- DOS(E_F) (states/eV/cell) = 0.00
- uncorrected formation energy (eV/atom) = -1.22
- ρ (g/cm3) = 2.885

Cell lengths 5.5268, 13.6816, 13.0203 Å; angles 90.00, 90.00, 90.00 degrees
Space group Cmcm (No. 63)
Symmetry-distinct sites (fractional):
Na (0.0000, 0.1544, 0.0727)
Tl (0.0000, 0.1839, 0.7500)
Cl (0.0000, 0.0524, 0.6120)
Cl (0.0000, 0.2786, 0.2500)
Cl (0.0000, 0.3115, 0.5995)